# 1
First-principles (PBE) data for crystalline Y2ZnCr at its relaxed geometry, as listed in Alexandria.

Cell: 4.3508 4.3508 10.2412 Å, 77.74 77.74 90.00°
Fractional positions:
Y  0.6155  0.1250  0.2500
Y  0.1345  0.6250  0.2500
Y  0.3750  0.3845  0.7500
Y  0.8750  0.8655  0.7500
Cr  0.5000  0.5000  0.0000
Cr  0.2500  0.7500  0.5000
Zn  0.0000  0.0000  0.0000
Zn  0.7500  0.2500  0.5000

Values from the calculation:
* excess energy over the best structure of this formula in the dataset: 900 meV per atom
* DOS at the Fermi energy: 13.5 states/eV per cell
* size of the total moment: 0.000 Bohr magnetons per cell
* electronic total energy: -5.04 eV/atom

# 2
First-principles (PBE) data for crystalline NpNi4Ge2 at its relaxed geometry, as listed in Alexandria.

Cell: 3.8209 7.2373 7.2373 Å, 90.00 90.00 90.00°
Each line ends with the local moment (μB).
Fractional positions:
Np  0.5000  0.0000  0.0000  3.51
Np  0.0000  0.5000  0.5000  3.51
Ni  0.0000  0.0921  0.3500  -0.02
Ni  0.0000  0.9079  0.6500  -0.02
Ni  0.5000  0.1500  0.5921  -0.02
Ni  0.5000  0.8500  0.4079  -0.02
Ni  0.5000  0.4079  0.8500  -0.02
Ni  0.5000  0.5921  0.1500  -0.02
Ni  0.0000  0.3500  0.0921  -0.02
Ni  0.0000  0.6500  0.9079  -0.02
Ge  0.0000  0.2170  0.7830  0.00
Ge  0.0000  0.7830  0.2170  0.00
Ge  0.5000  0.7170  0.7170  0.00
Ge  0.5000  0.2830  0.2830  0.00

Values from the calculation:
* DOS at the Fermi energy: 26.4 states/eV per cell
* size of the total moment: 7.172 Bohr magnetons per cell
* electronic total energy: -6.77 eV/atom

# 3
First-principles (PBE) data for crystalline KNi2C at its relaxed geometry, as listed in Alexandria.

Cell: 3.6305 3.6306 5.7799 Å, 90.51 92.16 90.01°
Fractional positions:
Ni  0.0000  0.5000  0.0000
Ni  0.5000  0.0000  0.0000
K  0.0000  0.0000  0.5000
C  0.0000  0.0000  0.0000

Values from the calculation:
* DOS at the Fermi energy: 1.1 states/eV per cell
* size of the total moment: 0.000 Bohr magnetons per cell
* electronic total energy: -5.23 eV/atom

# 4
First-principles (PBE) data for crystalline CaCeO2 at its relaxed geometry, as listed in Alexandria.

Cell: 3.3322 3.3322 6.4769 Å, 75.09 75.09 60.00°
Each line ends with the local moment (μB).
Fractional positions:
Ca  0.4958  0.4958  0.5127  0.00
Ce  0.6682  0.6682  0.9955  0.29
O  0.0887  0.0887  0.7339  -0.01
O  0.2474  0.2474  0.2578  -0.01

Values from the calculation:
* excess energy over the best structure of this formula in the dataset: 146 meV per atom
* DOS at the Fermi energy: 3.4 states/eV per cell
* energy relative to the elements, uncorrected: -2.663 eV per atom
* size of the total moment: 0.334 Bohr magnetons per cell
* electronic total energy: -7.13 eV/atom